First-principles (PBE) data for crystalline YHo2Cu9 at its relaxed geometry, as listed in Alexandria.

a = 5.1460 Å, b = 5.1460 Å, c = 24.9433 Å
α = 90.00°, β = 90.00°, γ = 120.00°
With the nearest neighbours (Å) after each atom.
Space group R-3m (No. 166, hexagonal axes)
Inequivalent atoms, fractional coordinates:
Y 0.0000 0.0000 0.0000  18 Cu 2.97-3.29
Ho 0.0000 0.0000 0.1412  12 Cu 2.96-3.12, 3 Ho 3.23
Cu 0.0000 0.0000 0.3324  6 Cu 2.51-2.55
Cu 0.0000 0.0000 0.5000  6 Cu 2.58
Cu 0.9999 0.4999 0.0822  7 Cu 2.51-2.58

Output
- Total DFT energy (no corrections): -4.5817 eV per atom
- Energy relative to the elements: -0.208 eV/atom
- N(E_F): 23.44 states/eV/cell